No. 1
Entry from Alexandria: crystalline YMnSb2 at its relaxed geometry (PBE).

The structure in CIF format:
```
data_YMnSb2
_chemical_formula_sum 'Y2 Mn2 Sb4'
_cell_length_a 4.685
_cell_length_b 4.685
_cell_length_c 8.782
_cell_angle_alpha 90.00
_cell_angle_beta 90.00
_cell_angle_gamma 90.00
_symmetry_space_group_name_H-M 'I 4/m m m'
_symmetry_Int_Tables_number 139
_symmetry_space_group_name_Hall '-I 4 2'
loop_
_atom_site_label
_atom_site_type_symbol
_atom_site_fract_x
_atom_site_fract_y
_atom_site_fract_z
Y1 Y 0.000 0.000 0.000
Mn1 Mn 0.000 0.000 0.500
Sb1 Sb 0.000 0.500 0.250
```

Properties
ΔE_f (raw): -17.99 kJ/mol of atoms
Fermi-level density of states: 3.368 states/eV/f.u.

No. 2
Entry from Alexandria: crystalline SrCa3 at its relaxed geometry (PBE).

The structure in CIF format:
```
data_SrCa3
_chemical_formula_sum 'Sr1 Ca3'
_cell_length_a 3.9812
_cell_length_b 3.9812
_cell_length_c 13.1696
_cell_angle_alpha 90.00
_cell_angle_beta 90.00
_cell_angle_gamma 120.00
_symmetry_space_group_name_H-M 'P -6 m 2'
_symmetry_Int_Tables_number 187
_symmetry_space_group_name_Hall 'P -6 2'
loop_
_atom_site_label
_atom_site_type_symbol
_atom_site_fract_x
_atom_site_fract_y
_atom_site_fract_z
Sr1 Sr 0.0000 0.0000 0.0000
Ca1 Ca 0.0000 0.0000 0.5000
Ca2 Ca 0.3333 0.6667 0.2575
```

Properties
Fermi-level density of states: 4.246 states/eV/f.u.
ΔE_f: 0.0210 eV per atom
ΔE to the lowest computed polymorph: 7 meV per atom

No. 3
Entry from Alexandria: crystalline NaCuB2F8 at its relaxed geometry (PBE).

The structure in CIF format:
```
data_NaCuB2F8
_chemical_formula_sum 'Na3 Cu3 B6 F24'
_cell_length_a 4.8474
_cell_length_b 4.8474
_cell_length_c 20.9637
_cell_angle_alpha 90.00
_cell_angle_beta 90.00
_cell_angle_gamma 120.00
_symmetry_space_group_name_H-M 'R -3'
_symmetry_Int_Tables_number 148
_symmetry_space_group_name_Hall '-R 3'
loop_
_atom_site_label
_atom_site_type_symbol
_atom_site_fract_x
_atom_site_fract_y
_atom_site_fract_z
Na1 Na 0.0000 0.0000 0.0000
Cu1 Cu 0.0000 0.0000 0.5000
B1 B 0.0000 0.0000 0.2544
F1 F 0.0000 0.0000 0.3218
F2 F 0.0256 0.2891 0.7673
```

Properties
ΔE_f (raw): -244.47 kJ/mol of atoms